1.
Below is a relaxed structure of SbMo2P, with properties calculated at the GGA-PBE level.

Structure (CIF):
```
data_SbMo2P
_chemical_formula_sum 'Sb1 Mo2 P1'
_symmetry_space_group_name_H-M 'P 1'
_symmetry_Int_Tables_number 1
_cell_length_a 5.1010
_cell_length_b 5.1010
_cell_length_c 3.0926
_cell_angle_alpha 75.21
_cell_angle_beta 75.21
_cell_angle_gamma 108.52
loop_
_symmetry_equiv_pos_as_xyz
'x,y,z'
loop_
_atom_site_label
_atom_site_fract_x
_atom_site_fract_y
_atom_site_fract_z
_atom_site_occupancy
P1 0.0000 0.0000 0.5000 1
Mo1 0.0000 0.5000 0.0000 1
Mo2 0.5000 0.0000 0.0000 1
Sb1 0.5000 0.5000 0.5000 1
```

Output
The calculation puts the theoretical density at 8.34 Mg/m³. The density of states at the Fermi level comes out at 4.323 states/eV per cell. The formation energy without anion corrections comes out at 496 meV/atom.

2.
Below is a relaxed structure of Pr4NdEr3S8, with properties calculated at the GGA-PBE level.

Structure (CIF):
```
data_Pr4NdEr3S8
_chemical_formula_sum 'Pr4 Nd1 Er3 S8'
_symmetry_space_group_name_H-M 'P 1'
_symmetry_Int_Tables_number 1
_cell_length_a 7.9527
_cell_length_b 8.1083
_cell_length_c 7.9530
_cell_angle_alpha 119.37
_cell_angle_beta 120.00
_cell_angle_gamma 90.00
loop_
_symmetry_equiv_pos_as_xyz
'x,y,z'
loop_
_atom_site_label
_atom_site_fract_x
_atom_site_fract_y
_atom_site_fract_z
_atom_site_occupancy
Er1 0.0000 0.5000 0.5000 1
Er2 0.5000 0.5000 0.5000 1
Er3 0.5000 0.5000 0.0000 1
S1 0.2487 0.7321 0.4973 1
S2 0.7348 0.7321 0.9834 1
S3 0.2652 0.2679 0.0166 1
S4 0.7513 0.2679 0.5027 1
S5 0.2579 0.2738 0.5158 1
S6 0.7513 0.2679 0.0166 1
S7 0.2487 0.7321 0.9834 1
S8 0.7421 0.7262 0.4842 1
Pr1 0.5000 0.0000 0.5000 1
Pr2 0.5000 0.0000 0.0000 1
Pr3 0.0000 0.0000 0.0000 1
Pr4 0.0000 0.0000 0.5000 1
Nd1 0.0000 0.5000 0.0000 1
```

Output
The calculation puts the theoretical density at 6.65 Mg/m³. The density of states at the Fermi level comes out at 6.704 states/eV per cell. The formation energy without anion corrections comes out at -1996 meV/atom.

3.
Below is a relaxed structure of CrCo2Os, with properties calculated at the GGA-PBE level.

Structure (CIF):
```
data_CrCo2Os
_chemical_formula_sum 'Cr1 Co2 Os1'
_symmetry_space_group_name_H-M 'P 1'
_symmetry_Int_Tables_number 1
_cell_length_a 2.9700
_cell_length_b 2.9700
_cell_length_c 5.4250
_cell_angle_alpha 90.00
_cell_angle_beta 90.00
_cell_angle_gamma 90.00
loop_
_symmetry_equiv_pos_as_xyz
'x,y,z'
loop_
_atom_site_label
_atom_site_fract_x
_atom_site_fract_y
_atom_site_fract_z
_atom_site_occupancy
Cr1 0.0000 0.0000 0.4837 1
Co1 0.5000 0.5000 0.2380 1
Co2 0.0000 0.0000 0.0321 1
Os1 0.5000 0.5000 0.7462 1
```

Output
The calculation puts the total energy at -34.372 eV per cell. The calculation puts the theoretical density at 12.50 Mg/m³. The density of states at the Fermi level comes out at 4.847 states/eV per cell.

4.
Below is a relaxed structure of SbIrPd2, with properties calculated at the GGA-PBE level.

Structure (CIF):
```
data_SbIrPd2
_chemical_formula_sum 'Sb1 Ir1 Pd2'
_symmetry_space_group_name_H-M 'P 1'
_symmetry_Int_Tables_number 1
_cell_length_a 4.1434
_cell_length_b 3.9709
_cell_length_c 3.9709
_cell_angle_alpha 90.00
_cell_angle_beta 90.00
_cell_angle_gamma 90.00
loop_
_symmetry_equiv_pos_as_xyz
'x,y,z'
loop_
_atom_site_label
_atom_site_fract_x
_atom_site_fract_y
_atom_site_fract_z
_atom_site_occupancy
Sb1 0.5000 0.0000 0.0000 1
Ir1 0.5000 0.5000 0.5000 1
Pd1 0.0000 0.0000 0.5000 1
Pd2 0.0000 0.5000 0.0000 1
```

Output
The calculation puts the theoretical density at 13.39 Mg/m³. The density of states at the Fermi level comes out at 2.292 states/eV per cell. The formation energy without anion corrections comes out at -148 meV/atom.

5.
Below is a relaxed structure of La2AsBr, with properties calculated at the GGA-PBE level.

Structure (CIF):
```
data_La2AsBr
_chemical_formula_sum 'La2 As1 Br1'
_symmetry_space_group_name_H-M 'P 1'
_symmetry_Int_Tables_number 1
_cell_length_a 4.2620
_cell_length_b 4.2620
_cell_length_c 8.0870
_cell_angle_alpha 74.72
_cell_angle_beta 74.72
_cell_angle_gamma 60.00
loop_
_symmetry_equiv_pos_as_xyz
'x,y,z'
loop_
_atom_site_label
_atom_site_fract_x
_atom_site_fract_y
_atom_site_fract_z
_atom_site_occupancy
Br1 0.4989 0.4989 0.5032 1
La1 0.2622 0.2622 0.2134 1
La2 0.0711 0.0711 0.7868 1
As1 0.6678 0.6678 0.9966 1
```

Output
The calculation puts the theoretical density at 5.93 Mg/m³. The density of states at the Fermi level comes out at 1.491 states/eV per cell. The formation energy without anion corrections comes out at -1513 meV/atom.

6.
Below is a relaxed structure of Li8Mg2Pt, with properties calculated at the GGA-PBE level.

Structure (CIF):
```
data_Li8Mg2Pt
_chemical_formula_sum 'Li8 Mg2 Pt1'
_symmetry_space_group_name_H-M 'P 1'
_symmetry_Int_Tables_number 1
_cell_length_a 5.0924
_cell_length_b 7.4495
_cell_length_c 7.4495
_cell_angle_alpha 54.32
_cell_angle_beta 78.59
_cell_angle_gamma 78.59
loop_
_symmetry_equiv_pos_as_xyz
'x,y,z'
loop_
_atom_site_label
_atom_site_fract_x
_atom_site_fract_y
_atom_site_fract_z
_atom_site_occupancy
Li1 0.1832 0.7597 0.3678 1
Li2 0.8168 0.2403 0.6322 1
Li3 0.9320 0.2174 0.2174 1
Li4 0.8168 0.6322 0.2403 1
Li5 0.0680 0.7826 0.7826 1
Li6 0.6415 0.6486 0.6486 1
Li7 0.3585 0.3514 0.3514 1
Li8 0.1832 0.3678 0.7597 1
Mg1 0.4951 0.8856 0.8856 1
Mg2 0.5049 0.1144 0.1144 1
Pt1 0.0000 0.0000 0.0000 1
```

Output
The calculation puts the total energy at -25.555 eV per cell. The calculation puts the theoretical density at 2.22 Mg/m³. The density of states at the Fermi level comes out at 4.174 states/eV per cell.

7.
Below is a relaxed structure of LiHg4Au, with properties calculated at the GGA-PBE level.

Structure (CIF):
```
data_LiHg4Au
_chemical_formula_sum 'Li2 Hg8 Au2'
_symmetry_space_group_name_H-M 'P 1'
_symmetry_Int_Tables_number 1
_cell_length_a 6.8756
_cell_length_b 6.8756
_cell_length_c 7.5846
_cell_angle_alpha 116.95
_cell_angle_beta 116.95
_cell_angle_gamma 90.00
loop_
_symmetry_equiv_pos_as_xyz
'x,y,z'
loop_
_atom_site_label
_atom_site_fract_x
_atom_site_fract_y
_atom_site_fract_z
_atom_site_occupancy
Hg1 0.2095 0.7095 0.7441 1
Hg2 0.4654 0.9654 0.2559 1
Hg3 0.5346 0.0346 0.7441 1
Hg4 0.2905 0.4654 0.2559 1
Hg5 0.7095 0.5346 0.7441 1
Hg6 0.9654 0.7905 0.2559 1
Hg7 0.7905 0.2905 0.2559 1
Hg8 0.0346 0.2095 0.7441 1
Li1 0.5000 0.5000 0.0000 1
Li2 0.0000 0.0000 0.0000 1
Au1 0.2500 0.2500 0.5000 1
Au2 0.7500 0.7500 0.5000 1
```

Output
The calculation puts the total energy at -14.489 eV per cell. The calculation puts the theoretical density at 12.14 Mg/m³. The density of states at the Fermi level comes out at 3.369 states/eV per cell.

8.
Below is a relaxed structure of RbCaPb2C, with properties calculated at the GGA-PBE level.

Structure (CIF):
```
data_RbCaPb2C
_chemical_formula_sum 'Rb1 Ca1 Pb2 C1'
_symmetry_space_group_name_H-M 'P 1'
_symmetry_Int_Tables_number 1
_cell_length_a 6.1895
_cell_length_b 4.6895
_cell_length_c 6.1895
_cell_angle_alpha 90.00
_cell_angle_beta 90.00
_cell_angle_gamma 90.00
loop_
_symmetry_equiv_pos_as_xyz
'x,y,z'
loop_
_atom_site_label
_atom_site_fract_x
_atom_site_fract_y
_atom_site_fract_z
_atom_site_occupancy
Ca1 0.5000 0.5000 0.5000 1
C1 0.0000 0.5000 0.0000 1
Pb1 0.5000 0.0000 0.0000 1
Pb2 0.0000 0.0000 0.5000 1
Rb1 0.0000 0.0000 0.0000 1
```

Output
The calculation puts the total energy at -11.203 eV per cell. The calculation puts the theoretical density at 5.10 Mg/m³. The density of states at the Fermi level comes out at 4.909 states/eV per cell.

9.
Below is a relaxed structure of Cs2TlCd, with properties calculated at the GGA-PBE level.

Structure (CIF):
```
data_Cs2TlCd
_chemical_formula_sum 'Cs2 Tl1 Cd1'
_symmetry_space_group_name_H-M 'P 1'
_symmetry_Int_Tables_number 1
_cell_length_a 4.3676
_cell_length_b 6.7888
_cell_length_c 6.7888
_cell_angle_alpha 90.00
_cell_angle_beta 90.00
_cell_angle_gamma 90.00
loop_
_symmetry_equiv_pos_as_xyz
'x,y,z'
loop_
_atom_site_label
_atom_site_fract_x
_atom_site_fract_y
_atom_site_fract_z
_atom_site_occupancy
Tl1 0.5000 0.5000 0.5000 1
Cd1 0.5000 0.0000 0.0000 1
Cs1 0.0000 0.0000 0.5000 1
Cs2 0.0000 0.5000 0.0000 1
```

Output
The calculation puts the total energy at -4.726 eV per cell. The calculation puts the theoretical density at 4.81 Mg/m³. The density of states at the Fermi level comes out at 5.109 states/eV per cell.

10.
Below is a relaxed structure of CdIBr, with properties calculated at the GGA-PBE level.

Structure (CIF):
```
data_CdIBr
_chemical_formula_sum 'Cd2 I2 Br2'
_symmetry_space_group_name_H-M 'P 1'
_symmetry_Int_Tables_number 1
_cell_length_a 14.6994
_cell_length_b 14.6994
_cell_length_c 14.6994
_cell_angle_alpha 16.45
_cell_angle_beta 16.45
_cell_angle_gamma 16.45
loop_
_symmetry_equiv_pos_as_xyz
'x,y,z'
loop_
_atom_site_label
_atom_site_fract_x
_atom_site_fract_y
_atom_site_fract_z
_atom_site_occupancy
Br1 0.5865 0.5865 0.5865 1
Br2 0.4197 0.4197 0.4197 1
I1 0.1619 0.1619 0.1619 1
I2 0.9954 0.9954 0.9954 1
Cd1 0.2883 0.2883 0.2883 1
Cd2 0.7882 0.7882 0.7882 1
```

Output
The calculation puts the theoretical density at 4.77 Mg/m³. The density of states at the Fermi level comes out at 0.000 states/eV per cell. The formation energy without anion corrections comes out at -702 meV/atom.

11.
Below is a relaxed structure of AsBrO, with properties calculated at the GGA-PBE level.

Structure (CIF):
```
data_AsBrO
_chemical_formula_sum 'As3 Br3 O3'
_symmetry_space_group_name_H-M 'P 1'
_symmetry_Int_Tables_number 1
_cell_length_a 7.7337
_cell_length_b 7.7337
_cell_length_c 6.1403
_cell_angle_alpha 90.00
_cell_angle_beta 90.00
_cell_angle_gamma 120.00
loop_
_symmetry_equiv_pos_as_xyz
'x,y,z'
loop_
_atom_site_label
_atom_site_fract_x
_atom_site_fract_y
_atom_site_fract_z
_atom_site_occupancy
As1 0.5441 0.0876 0.9821 1
As2 0.5435 0.4559 0.3155 1
As3 0.9124 0.4565 0.6488 1
Br1 0.2892 0.2407 0.5734 1
Br2 0.9515 0.7108 0.9068 1
Br3 0.7593 0.0485 0.2401 1
O1 0.4999 0.2702 0.1111 1
O2 0.7704 0.5001 0.4444 1
O3 0.7298 0.2296 0.7778 1
```

Output
The calculation puts the theoretical density at 2.68 Mg/m³. The density of states at the Fermi level comes out at 0.000 states/eV per cell. The formation energy without anion corrections comes out at -821 meV/atom.

> Which value of theoretical density does entry 5 give?

5.93 Mg/m³

> Which of these has the highest theoretical density?

SbIrPd2

> Among the records above, which one has the lowest theoretical density?

Li8Mg2Pt